(1)
Compound: ReRh4Pb
Source: the Alexandria database
Functional: PBE
Structure: optimized geometry

## Properties
- Volume: 393.3 Å³/cell
- Energy: -7.045 eV/atom

Cell lengths 7.326, 7.326, 7.326 Å; angles 90.00, 90.00, 90.00 degrees
Space group F-43m (No. 216)
Inequivalent atoms, fractional coordinates:
Re (0.000, 0.000, 0.000) x4
Rh (0.126, 0.126, 0.626) x16
Pb (0.250, 0.250, 0.250) x4

(2)
Compound: Ca4TlAg
Source: the Alexandria database
Functional: PBE
Structure: optimized geometry

## Properties
- Volume: 425.3 Å³/cell
- Relative energy among the computed polymorphs: 87.9 meV/atom

Cell lengths 7.589, 7.589, 7.385 Å; angles 90.00, 90.10, 90.00 degrees
Space group C2/m (No. 12)
Inequivalent atoms, fractional coordinates:
Ca (0.250, 0.250, 0.248) x8
Tl (0.000, 0.000, 0.000) x2
Ag (0.000, 0.500, 0.500) x2

(3)
Compound: PmSm3O
Source: the Alexandria database
Functional: PBE
Structure: optimized geometry

## Properties
- ΔE_f (raw): -1.0834 eV/atom
- Volume: 129.7 Å³/cell

Cell lengths 5.061, 5.061, 5.061 Å; angles 90.00, 90.00, 90.00 degrees
Space group Pm-3m (No. 221)
Inequivalent atoms, fractional coordinates:
Pm (0.000, 0.000, 0.000) x1
Sm (0.000, 0.500, 0.500) x3
O (0.500, 0.500, 0.500) x1

(4)
Compound: Ir2S3
Source: the Alexandria database
Functional: PBE
Structure: optimized geometry

## Properties
- ΔE_f (raw): -0.3552 eV/atom
- Volume: 321.2 Å³/cell

Cell lengths 8.541, 6.069, 6.196 Å; angles 90.00, 90.00, 90.00 degrees
Space group Pbcn (No. 60)
Inequivalent atoms, fractional coordinates:
Ir (0.108, 0.249, 0.029) x8
S (0.000, 0.456, 0.750) x4
S (0.150, 0.110, 0.391) x8

(5)
Compound: NaInAgAu
Source: the Alexandria database
Functional: PBE
Structure: optimized geometry

## Properties
- Volume: 323.7 Å³/cell
- Energy: -2.719 eV/atom

Cell lengths 6.866, 6.866, 6.866 Å; angles 90.00, 90.00, 90.00 degrees
Space group F-43m (No. 216)
Inequivalent atoms, fractional coordinates:
Na (0.000, 0.000, 0.000) x4
In (0.000, 0.000, 0.500) x4
Ag (0.250, 0.250, 0.250) x4
Au (0.250, 0.250, 0.750) x4

(6)
Compound: PuScZnCu
Source: the Alexandria database
Functional: PBE
Structure: optimized geometry

## Properties
- Volume: 322.9 Å³/cell
- Energy: -6.573 eV/atom

Cell lengths 6.860, 6.860, 6.860 Å; angles 90.00, 90.00, 90.00 degrees
Space group F-43m (No. 216)
Inequivalent atoms, fractional coordinates:
Pu (0.000, 0.000, 0.000) x4
Sc (0.000, 0.000, 0.500) x4
Zn (0.250, 0.250, 0.750) x4
Cu (0.250, 0.250, 0.250) x4

(7)
Compound: MnCdFe3
Source: the Alexandria database
Functional: PBE
Structure: optimized geometry

## Properties
- Volume: 93.8 Å³/cell
- Relative energy among the computed polymorphs: 1784.6 meV/atom

Cell lengths 4.543, 4.543, 4.543 Å; angles 90.00, 90.00, 90.00 degrees
Space group Pm-3m (No. 221)
Inequivalent atoms, fractional coordinates:
Mn (0.000, 0.000, 0.000) x1
Cd (0.500, 0.500, 0.500) x1
Fe (0.000, 0.500, 0.500) x3

(8)
Compound: SbSeBr
Source: the Alexandria database
Functional: PBE
Structure: optimized geometry

## Properties
- ΔE_f (raw): -0.3213 eV/atom
- Volume: 223.5 Å³/cell

Cell lengths 4.026, 4.026, 13.785 Å; angles 90.00, 90.00, 90.00 degrees
Space group I4mm (No. 107)
Inequivalent atoms, fractional coordinates:
Sb (0.000, 0.000, 0.000) x2
Se (0.000, 0.000, 0.464) x2
Br (0.000, 0.000, 0.183) x2

(9)
Compound: Sc6Pd12Pb
Source: the Alexandria database
Functional: PBE
Structure: optimized geometry

## Properties
- Volume: 988.4 Å³/cell
- Energy: -6.198 eV/atom

Cell lengths 12.6484, 12.6484, 7.1337 Å; angles 90.00, 90.00, 120.00 degrees
Space group R-3 (No. 148, hexagonal axes)
Inequivalent atoms, fractional coordinates:
Sc (0.0209, 0.7633, 0.3366) x18
Pd (0.0089, 0.8681, 0.6605) x18
Pd (0.0633, 0.5014, 0.6760) x18
Pb (0.0000, 0.0000, 0.0000) x3

(10)
Compound: Ag4SbPt
Source: the Alexandria database
Functional: PBE
Structure: optimized geometry

## Properties
- ΔE_f (raw): 0.2242 eV/atom
- Volume: 460.7 Å³/cell

Cell lengths 7.723, 7.723, 7.723 Å; angles 90.00, 90.00, 90.00 degrees
Space group F-43m (No. 216)
Inequivalent atoms, fractional coordinates:
Ag (0.125, 0.125, 0.125) x16
Sb (0.000, 0.000, 0.500) x4
Pt (0.250, 0.250, 0.750) x4

(11)
Compound: TlCrAs3
Source: the Alexandria database
Functional: PBE
Structure: optimized geometry

## Properties
- Volume: 108.5 Å³/cell
- Relative energy among the computed polymorphs: 0.0 meV/atom

Cell lengths 4.770, 4.770, 4.770 Å; angles 90.00, 90.00, 90.00 degrees
Space group Pm-3m (No. 221)
Inequivalent atoms, fractional coordinates:
Tl (0.000, 0.000, 0.000) x1
Cr (0.500, 0.500, 0.500) x1
As (0.000, 0.500, 0.500) x3

(12)
Compound: FeTeBr3
Source: the Alexandria database
Functional: PBE
Structure: optimized geometry

## Properties
- ΔE_f (raw): 0.3083 eV/atom
- Volume: 118.0 Å³/cell
- Relative energy among the computed polymorphs: 0.0 meV/atom

Cell lengths 4.905, 4.905, 4.905 Å; angles 90.00, 90.00, 90.00 degrees
Space group Pm-3m (No. 221)
Inequivalent atoms, fractional coordinates:
Fe (0.000, 0.000, 0.000) x1
Te (0.500, 0.500, 0.500) x1
Br (0.000, 0.000, 0.500) x3

(13)
Compound: BeBIr2
Source: the Alexandria database
Functional: PBE
Structure: optimized geometry

## Properties
- Volume: 173.3 Å³/cell
- Relative energy among the computed polymorphs: 0.0 meV/atom

Cell lengths 5.611, 8.306, 3.718 Å; angles 90.00, 90.00, 90.00 degrees
Space group Cmcm (No. 63)
Inequivalent atoms, fractional coordinates:
Be (0.000, 0.105, 0.250) x4
B (0.000, 0.320, 0.750) x4
Ir (0.240, 0.375, 0.250) x8

(14)
Compound: AcPrFe
Source: the Alexandria database
Functional: PBE
Structure: optimized geometry

## Properties
- Volume: 358.1 Å³/cell
- Energy: -5.528 eV/atom

Cell lengths 12.553, 5.459, 5.693 Å; angles 90.00, 113.36, 90.00 degrees
Space group C2/m (No. 12)
Inequivalent atoms, fractional coordinates:
Ac (0.131, 0.000, 0.400) x4
Pr (0.122, 0.500, 0.905) x4
Fe (0.101, 0.500, 0.412) x4

(15)
Compound: KSiAu3
Source: the Alexandria database
Functional: PBE
Structure: optimized geometry

## Properties
- ΔE_f (raw): 0.1088 eV/atom
- Volume: 851.2 Å³/cell

Cell lengths 7.106, 23.663, 5.062 Å; angles 90.00, 90.00, 90.00 degrees
Space group Cmcm (No. 63)
Inequivalent atoms, fractional coordinates:
K (0.000, 0.126, 0.250) x4
Si (0.000, 0.283, 0.250) x4
Au (0.000, 0.000, 0.000) x4
Au (0.190, 0.263, 0.750) x8

(16)
Compound: Na3TmPa2N6
Source: the Alexandria database
Functional: PBE
Structure: optimized geometry

## Properties
- ΔE_f (raw): -0.9646 eV/atom
- Volume: 368.3 Å³/cell

Cell lengths 6.077, 10.634, 6.037 Å; angles 90.00, 109.25, 90.00 degrees
Space group C2/m (No. 12)
Inequivalent atoms, fractional coordinates:
Na (0.000, 0.000, 0.000) x2
Na (0.000, 0.337, 0.000) x4
Tm (0.000, 0.500, 0.500) x2
Pa (0.000, 0.166, 0.500) x4
N (0.221, 0.000, 0.691) x4
N (0.237, 0.329, 0.689) x8

(17)
Compound: Al2Ge2Au
Source: the Alexandria database
Functional: PBE
Structure: optimized geometry

## Properties
- Volume: 195.6 Å³/cell
- Relative energy among the computed polymorphs: 140.1 meV/atom

Cell lengths 4.363, 4.363, 10.279 Å; angles 90.00, 90.00, 90.00 degrees
Space group I4/mmm (No. 139)
Inequivalent atoms, fractional coordinates:
Al (0.000, 0.500, 0.250) x4
Ge (0.000, 0.000, 0.116) x4
Au (0.000, 0.000, 0.500) x2

(18)
Compound: Y2CrSe2
Source: the Alexandria database
Functional: PBE
Structure: optimized geometry

## Properties
- ΔE_f (raw): -0.5352 eV/atom
- Volume: 308.1 Å³/cell
- Relative energy among the computed polymorphs: 174.0 meV/atom

Cell lengths 4.932, 4.932, 12.666 Å; angles 90.00, 90.00, 90.00 degrees
Space group I4/mmm (No. 139)
Inequivalent atoms, fractional coordinates:
Y (0.000, 0.000, 0.144) x4
Cr (0.000, 0.000, 0.500) x2
Se (0.000, 0.500, 0.250) x4

(19)
Compound: Th6SiSn3
Source: the Alexandria database
Functional: PBE
Structure: optimized geometry

## Properties
- ΔE_f (raw): -0.3684 eV/atom
- Volume: 617.6 Å³/cell

Cell lengths 6.246, 8.732, 12.854 Å; angles 90.00, 118.26, 90.00 degrees
Space group P2_1/c (No. 14)
Inequivalent atoms, fractional coordinates:
Th (0.018, 0.186, 0.433) x4
Th (0.326, 0.660, 0.433) x4
Th (0.373, 0.027, 0.238) x4
Si (0.000, 0.000, 0.000) x2
Sn (0.134, 0.127, 0.743) x4
Sn (0.500, 0.000, 0.500) x2

(20)
Compound: PaAlGe
Source: the Alexandria database
Functional: PBE
Structure: optimized geometry

## Properties
- Volume: 62.0 Å³/cell
- Energy: -6.273 eV/atom

Cell lengths 4.2828, 4.2828, 3.9025 Å; angles 90.00, 90.00, 120.00 degrees
Space group P-6m2 (No. 187)
Inequivalent atoms, fractional coordinates:
Pa (0.0000, 0.0000, 0.0000) x1
Al (0.3333, 0.6667, 0.5000) x1
Ge (0.6667, 0.3333, 0.5000) x1

(21)
Compound: Rb2NaBr
Source: the Alexandria database
Functional: PBE
Structure: optimized geometry

## Properties
- ΔE_f (raw): -0.7238 eV/atom
- Volume: 1032.4 Å³/cell
- Relative energy among the computed polymorphs: 63.5 meV/atom

Cell lengths 9.853, 9.853, 10.634 Å; angles 90.00, 90.00, 90.00 degrees
Space group I-42d (No. 122)
Inequivalent atoms, fractional coordinates:
Rb (0.184, 0.250, 0.125) x8
Na (0.000, 0.000, 0.500) x4
Br (0.000, 0.000, 0.000) x4

(22)
Compound: NiHg3Sb
Source: the Alexandria database
Functional: PBE
Structure: optimized geometry

## Properties
- ΔE_f (raw): 0.3513 eV/atom
- Volume: 124.8 Å³/cell
- Relative energy among the computed polymorphs: 0.0 meV/atom

Cell lengths 4.997, 4.997, 4.997 Å; angles 90.00, 90.00, 90.00 degrees
Space group Pm-3m (No. 221)
Inequivalent atoms, fractional coordinates:
Ni (0.000, 0.000, 0.000) x1
Hg (0.000, 0.000, 0.500) x3
Sb (0.500, 0.500, 0.500) x1

(23)
Compound: TaSN2Cl
Source: the Alexandria database
Functional: PBE
Structure: optimized geometry

## Properties
- ΔE_f (raw): 0.4456 eV/atom
- Volume: 84.3 Å³/cell
- Relative energy among the computed polymorphs: 0.0 meV/atom

Cell lengths 3.967, 3.967, 5.356 Å; angles 90.00, 90.00, 90.00 degrees
Space group P4/mmm (No. 123)
Inequivalent atoms, fractional coordinates:
Ta (0.000, 0.000, 0.000) x1
S (0.000, 0.000, 0.500) x1
N (0.000, 0.500, 0.000) x2
Cl (0.500, 0.500, 0.500) x1

(24)
Compound: MnCr2P
Source: the Alexandria database
Functional: PBE
Structure: optimized geometry

## Properties
- Volume: 137.8 Å³/cell
- Energy: -8.356 eV/atom

Cell lengths 2.6340, 2.6340, 22.9353 Å; angles 90.00, 90.00, 120.00 degrees
Space group R3m (No. 160, hexagonal axes)
Inequivalent atoms, fractional coordinates:
Mn (0.0000, 0.0000, 0.0000) x3
Cr (0.0000, 0.0000, 0.5057) x3
Cr (0.0000, 0.0000, 0.7509) x3
P (0.0000, 0.0000, 0.2541) x3

(25)
Compound: Be3GeN
Source: the Alexandria database
Functional: PBE
Structure: optimized geometry

## Properties
- ΔE_f (raw): 1.5833 eV/atom
- Volume: 71.6 Å³/cell
- Relative energy among the computed polymorphs: 1550.6 meV/atom

Cell lengths 4.152, 4.152, 4.152 Å; angles 90.00, 90.00, 90.00 degrees
Space group Pm-3m (No. 221)
Inequivalent atoms, fractional coordinates:
Be (0.000, 0.000, 0.500) x3
Ge (0.000, 0.000, 0.000) x1
N (0.500, 0.500, 0.500) x1